1.
First-principles (PBE) data for crystalline HoNp2UN4 at its relaxed geometry, as listed in the Alexandria database.

extended XYZ file:
```
8
Lattice="-2.301 2.339 1.031 0.819 -1.693 5.669 3.842 4.367 -1.336" Properties=species:S:1:pos:R:3 pbc="T T T"
Ho -0.741 0.323 3.350
Np 0.771 3.353 -0.153
Np 2.330 1.337 2.166
U 0.000 0.000 0.000
N -0.020 1.814 1.577
N 2.380 3.200 3.787
N 3.086 2.870 0.374
N 1.575 -0.195 3.959
```

ρ, g/cm3: 13.39
Formation energy from raw total energies, meV/atom: -1308

***

2.
First-principles (PBE) data for crystalline Ho2NpWN6 at its relaxed geometry, as listed in the Alexandria database.

extended XYZ file:
```
10
Lattice="4.460 0.000 0.000 0.000 5.632 0.000 0.000 0.000 5.632" Properties=species:S:1:pos:R:3 pbc="T T T"
Ho 0.050 2.816 0.000
Ho 0.050 0.000 2.816
Np 2.795 2.816 2.816
W 2.636 0.000 0.000
N 3.196 1.359 1.359
N 3.196 1.359 4.272
N 0.689 2.816 2.816
N 0.827 0.000 0.000
N 3.196 4.272 4.272
N 3.196 4.272 1.359
```

ρ, g/cm3: 9.80
Formation energy from raw total energies, meV/atom: -959

***

3.
First-principles (PBE) data for crystalline YHo2NpN4 at its relaxed geometry, as listed in the Alexandria database.

extended XYZ file:
```
8
Lattice="3.453 0.000 0.000 0.000 5.963 0.129 0.000 -2.061 5.594" Properties=species:S:1:pos:R:3 pbc="T T T"
Y 0.000 0.000 0.000
Ho 1.727 -1.031 2.797
Ho 0.000 1.951 2.861
Np 1.727 2.982 0.064
N 1.727 1.058 1.390
N 1.727 2.844 4.333
N 0.000 -0.026 4.254
N 0.000 3.928 1.469
```

ρ, g/cm3: 10.18
Formation energy from raw total energies, meV/atom: -1567

***

4.
First-principles (PBE) data for crystalline HoZr2NpN4 at its relaxed geometry, as listed in the Alexandria database.

extended XYZ file:
```
8
Lattice="4.735 0.002 0.000 -0.003 4.735 0.000 -2.366 -2.368 4.732" Properties=species:S:1:pos:R:3 pbc="T T T"
Ho 2.366 2.368 0.000
Zr -0.001 2.367 2.366
Zr -0.002 4.735 0.000
Np 2.367 0.001 2.366
N 2.368 0.001 4.719
N 2.367 0.001 0.014
N 2.366 2.369 2.405
N 0.000 0.000 2.328
```

ρ, g/cm3: 10.02
Formation energy from raw total energies, meV/atom: -1573

***

5.
First-principles (PBE) data for crystalline Ho3N2O at its relaxed geometry, as listed in the Alexandria database.

extended XYZ file:
```
6
Lattice="3.314 -0.101 -0.857 -0.390 4.387 -2.024 -0.230 0.036 5.926" Properties=species:S:1:pos:R:3 pbc="T T T"
Ho 1.462 2.143 -1.440
Ho 0.424 0.749 1.542
Ho 2.270 3.573 1.503
N 0.215 2.922 0.487
N 2.479 1.400 2.558
O 1.657 -0.050 -0.428
```

ρ, g/cm3: 10.49
Formation energy from raw total energies, meV/atom: -2206

***

6.
First-principles (PBE) data for crystalline Ho4NO4 at its relaxed geometry, as listed in the Alexandria database.

extended XYZ file:
```
9
Lattice="-5.091 1.181 1.749 -2.109 -2.666 -4.338 3.523 -3.546 3.968" Properties=species:S:1:pos:R:3 pbc="T T T"
Ho -2.075 -3.664 1.299
Ho -2.783 -2.862 -2.351
Ho 1.959 -2.832 2.750
Ho -4.454 -0.705 1.060
N 0.000 0.000 0.000
O -2.546 0.591 0.874
O -1.054 -1.333 -2.169
O -0.042 -2.381 1.484
O -3.634 -2.650 -0.105
```

ρ, g/cm3: 7.98
Formation energy from raw total energies, meV/atom: -2739

***

7.
First-principles (PBE) data for crystalline Ho2NO at its relaxed geometry, as listed in the Alexandria database.

extended XYZ file:
```
4
Lattice="-3.325 -0.131 0.458 -1.424 -2.807 1.175 -0.903 0.977 6.043" Properties=species:S:1:pos:R:3 pbc="T T T"
Ho -1.059 0.526 4.777
Ho -1.427 -0.529 1.811
N -4.074 -0.995 7.094
O -2.821 -0.967 3.877
```

ρ, g/cm3: 10.40
ΔE to the lowest computed polymorph, eV per atom: 0.149
Formation energy from raw total energies, meV/atom: -2237

***

8.
First-principles (PBE) data for crystalline Ho6N5O at its relaxed geometry, as listed in the Alexandria database.

extended XYZ file:
```
12
Lattice="-5.747 -1.191 1.005 -0.449 -4.486 3.887 -0.243 1.133 5.838" Properties=species:S:1:pos:R:3 pbc="T T T"
Ho -4.419 -0.884 3.055
Ho -1.790 -2.507 4.474
Ho -1.577 -1.442 1.243
Ho -4.619 -4.234 3.649
Ho -4.649 -2.037 6.256
Ho -2.020 -3.660 7.675
O 0.000 0.000 0.000
N -3.110 -0.592 5.038
N -0.231 -1.117 3.242
N -3.098 -2.838 2.446
N -0.461 -2.236 6.483
N -3.329 -3.952 5.693
```

ρ, g/cm3: 10.37
Formation energy from raw total energies, meV/atom: -2004

***

> Which value of formation energy from raw total energies does entry 2 give?

-959 meV/atom